[1]
GGA-PBE Sr3PC, optimized geometry; ΔH_f (0 K) = -0.0561 eV per atom; offset from the most stable computed form = 0.0 meV/atom; total energy = -3.992 eV per atom
1.0
5.189 0.000 0.000
0.000 5.189 0.000
0.000 0.000 5.189
Sr P C
3 1 1
direct
0.000 0.000 0.500
0.000 0.500 0.000
0.500 0.000 0.000
0.500 0.500 0.500
0.000 0.000 0.000

[2]
GGA-PBE MgGa2H8, optimized geometry; total energy = -3.096 eV per atom
1.0
4.310 -3.539 0.000
4.310 3.539 0.000
-0.508 0.000 4.543
Mg Ga H
1 2 8
direct
0.000 0.000 0.000
0.227 0.227 0.646
0.773 0.773 0.354
0.045 0.696 0.223
0.177 0.177 0.298
0.304 0.955 0.777
0.404 0.404 0.740
0.596 0.596 0.260
0.696 0.045 0.223
0.823 0.823 0.702
0.955 0.304 0.777

[3]
GGA-PBE Tl2GaSi2, optimized geometry; offset from the most stable computed form = 37.5 meV/atom; formation energy from raw total energies = 1.57 eV per formula unit; total energy = -3.406 eV per atom
1.0
6.718 0.000 0.000
0.000 6.718 0.000
0.000 0.000 5.105
Tl Ga Si
4 2 4
direct
0.186 0.314 0.000
0.314 0.814 0.000
0.686 0.186 0.000
0.814 0.686 0.000
0.000 0.000 0.500
0.500 0.500 0.500
0.125 0.625 0.500
0.375 0.125 0.500
0.625 0.875 0.500
0.875 0.375 0.500

[4]
GGA-PBE Sm8C3Br3O, optimized geometry; formation energy from raw total energies = -15.64 eV per formula unit; total energy = -6.069 eV per atom
1.0
6.491 -3.743 0.000
6.491 3.743 0.000
-4.332 0.000 7.096
Sm C Br O
8 3 3 1
direct
0.222 0.734 0.689
0.229 0.229 0.687
0.266 0.778 0.311
0.267 0.267 0.311
0.733 0.733 0.689
0.734 0.222 0.689
0.771 0.771 0.313
0.778 0.266 0.311
0.000 0.000 0.500
0.000 0.500 0.500
0.500 0.000 0.500
0.000 0.500 0.000
0.500 0.000 0.000
0.500 0.500 0.000
0.500 0.500 0.500

[5]
GGA-PBE CoTcAs2, optimized geometry; ΔH_f (0 K) = 0.0094 eV per atom; offset from the most stable computed form = 85.5 meV/atom; total energy = -6.683 eV per atom
1.0
2.905 0.000 0.000
0.000 2.905 0.000
0.000 0.000 7.744
Co Tc As
1 1 2
direct
0.000 0.000 0.000
0.500 0.500 0.217
0.000 0.000 0.424
0.500 0.500 0.825

[6]
GGA-PBE SrAcSbBr, optimized geometry; offset from the most stable computed form = 59.6 meV/atom; formation energy from raw total energies = -4.82 eV per formula unit; total energy = -4.102 eV per atom
1.0
0.000 4.016 4.016
4.016 0.000 4.016
4.016 4.016 0.000
Sr Ac Sb Br
1 1 1 1
direct
0.000 0.000 0.000
0.500 0.500 0.500
0.750 0.750 0.750
0.250 0.250 0.250

Question: total energy of number 3 (Tl2GaSi2)?
Answer: -3.406 eV per atom